DFT (PBE+U) results for a relaxed CaEu2WO6 crystal.

It has space group Fm-3m (No. 225), with a = 8.351 Å, b = 8.351 Å, c = 8.351 Å, α = 90.00°, β = 90.00° and γ = 90.00°. The inequivalent atoms are Ca at (0.000, 0.000, 0.000), Eu at (0.250, 0.250, 0.250), W at (0.000, 0.000, 0.500) and O at (0.000, 0.000, 0.267).

The calculation puts the calculated total energy at -8.579 eV/atom. Its crystal system is cubic.